Entry from Alexandria: a relaxed structure of Ca2Si2Se (GGA-PBE).

a = 7.564 Å, b = 7.564 Å, c = 4.117 Å
α = 90.00°, β = 90.00°, γ = 90.00°
Fractional coordinates of all 10 atoms:
Se  0.000  0.000  0.000
Se  0.500  0.500  0.000
Ca  0.685  0.815  0.500
Ca  0.185  0.685  0.500
Ca  0.315  0.185  0.500
Ca  0.815  0.315  0.500
Si  0.606  0.106  0.000
Si  0.894  0.606  0.000
Si  0.106  0.394  0.000
Si  0.394  0.894  0.000

Output
uncorrected energy	-20.8	eV per formula unit
formation energy without anion corrections	-2.49	eV/f.u.
mass density	3.036	g cm⁻³
E above lowest polymorph	58	meV/atom